No. 1
NbZn4Cr | PBE-GGA | optimized geometry

Cell lengths 4.9844, 4.9844, 4.9844 Å; angles 60.00, 60.00, 60.00 degrees
Closest atoms and distances in Å follow each position.
Element x y z (fractional)
Nb 0.0000 0.0000 0.0000  12 Zn 2.92, 4 Cr 3.05
Zn 0.3752 0.3752 0.3752  6 Zn 2.49-2.50
Zn 0.3752 0.3752 0.8745  6 Zn 2.49-2.50
Zn 0.3752 0.8745 0.3752  6 Zn 2.49-2.50
Zn 0.8745 0.3752 0.3752  6 Zn 2.49-2.50
Cr 0.7500 0.7500 0.7500  12 Zn 2.92, 4 Nb 3.05

formation enthalpy at 0 K = 0.03 eV per atom


No. 2
Na3Pm2NdS6 | PBE-GGA | optimized geometry

Cell lengths 7.1217, 7.1217, 7.0977 Å; angles 99.63, 99.63, 119.99 degrees
Closest atoms and distances in Å follow each position.
Element x y z (fractional)
Na 0.0000 0.0000 0.0000  6 S 2.96-2.98
Na 0.3332 0.6668 0.0000  6 S 2.96-2.98
Na 0.6668 0.3332 0.0000  6 S 2.96-2.98
Pm 0.1667 0.8333 0.5000  6 S 2.83
Pm 0.8333 0.1667 0.5000  6 S 2.83
Nd 0.5000 0.5000 0.5000  6 S 2.85
S 0.0874 0.4225 0.2676  2 Pm 2.83, 1 Nd 2.85, 3 Na 2.96-2.98
S 0.2425 0.2425 0.7327  2 Pm 2.83, 1 Nd 2.85, 3 Na 2.96-2.98
S 0.4225 0.0874 0.2676  2 Pm 2.83, 1 Nd 2.85, 3 Na 2.96-2.98
S 0.5775 0.9126 0.7324  2 Pm 2.83, 1 Nd 2.85, 3 Na 2.96-2.98
S 0.7575 0.7575 0.2673  2 Pm 2.83, 1 Nd 2.85, 3 Na 2.96-2.98
S 0.9126 0.5775 0.7324  2 Pm 2.83, 1 Nd 2.85, 3 Na 2.96-2.98

E_tot = -64.641 eV/cell


No. 3
TbErSe2 | PBE-GGA | optimized geometry

Cell lengths 3.9802, 3.9802, 13.9299 Å; angles 90.00, 90.00, 120.00 degrees
Closest atoms and distances in Å follow each position.
Element x y z (fractional)
Tb 0.0000 0.0000 0.0000  6 Se 2.88
Tb 0.0000 0.0000 0.5000  6 Se 2.88
Er 0.3333 0.6667 0.2500  6 Se 2.88
Er 0.6667 0.3333 0.7500  6 Se 2.88
Se 0.3333 0.6667 0.6249  3 Tb 2.88, 3 Er 2.88
Se 0.3333 0.6667 0.8751  3 Tb 2.88, 3 Er 2.88
Se 0.6667 0.3333 0.1249  3 Tb 2.88, 3 Er 2.88
Se 0.6667 0.3333 0.3751  3 Tb 2.88, 3 Er 2.88

offset from the most stable computed form = 0.0197 eV per atom


No. 4
CdReOsN2 | PBE-GGA | optimized geometry

Cell lengths 3.8481, 3.8481, 5.7585 Å; angles 90.00, 90.00, 90.00 degrees
Closest atoms and distances in Å follow each position.
Element x y z (fractional)
Cd 0.0000 0.0000 0.0000  4 Os 2.72, 2 Re 2.88
Re 0.0000 0.0000 0.5000  4 N 1.92
Os 0.5000 0.5000 0.0000  4 Cd 2.72
N 0.0000 0.5000 0.5000  2 Re 1.92
N 0.5000 0.0000 0.5000  2 Re 1.92

offset from the most stable computed form = 0.0000 eV per atom


No. 5
LiNbSn | PBE-GGA | optimized geometry

Cell lengths 7.0378, 6.3172, 4.6982 Å; angles 77.89, 61.36, 40.75 degrees
Closest atoms and distances in Å follow each position.
Element x y z (fractional)
Li 0.2500 0.2500 0.2500  2 Li 2.49, 4 Sn 2.75
Li 0.7500 0.7500 0.7500  2 Li 2.49, 4 Sn 2.75
Nb 0.1722 0.8278 0.1722  3 Nb 2.74-2.79, 2 Sn 2.99
Nb 0.8278 0.1722 0.8278  3 Nb 2.74-2.79, 2 Sn 2.99
Sn 0.3739 0.3739 0.6261  4 Li 2.75, 1 Sn 2.93, 2 Nb 2.99
Sn 0.6261 0.6261 0.3739  4 Li 2.75, 1 Sn 2.93, 2 Nb 2.99

formation enthalpy at 0 K = 0.05 eV per atom


No. 6
BaLaOs2 | PBE-GGA | optimized geometry

Cell lengths 3.4898, 3.4898, 9.2787 Å; angles 90.00, 90.00, 95.32 degrees
Closest atoms and distances in Å follow each position.
Element x y z (fractional)
Ba 0.0000 0.0000 0.0000  5 Os 3.36-3.63, 4 Ba 3.49
La 0.5000 0.5000 0.4121  3 Os 2.90-3.15
Os 0.0000 0.0000 0.6375  4 Os 2.49-2.70
Os 0.5000 0.5000 0.7246  4 Os 2.49-2.70

offset from the most stable computed form = 0.3946 eV per atom
formation enthalpy at 0 K = 0.49 eV per atom


No. 7
NiSe2Br | PBE-GGA | optimized geometry

Cell lengths 3.6891, 3.6891, 7.5499 Å; angles 90.00, 90.00, 120.00 degrees
Closest atoms and distances in Å follow each position.
Element x y z (fractional)
Ni 0.0000 0.0000 0.0000  6 Se 2.41-2.45
Se 0.3333 0.6667 0.8501  3 Ni 2.41, 1 Br 2.49
Se 0.6667 0.3333 0.1600  3 Ni 2.45
Br 0.3333 0.6667 0.5203  1 Se 2.49

offset from the most stable computed form = 0.0596 eV per atom


No. 8
Ca4SbI5 | PBE-GGA | optimized geometry

Cell lengths 10.1797, 10.1797, 9.0766 Å; angles 103.01, 103.01, 25.85 degrees
Closest atoms and distances in Å follow each position.
Element x y z (fractional)
Ca 0.0027 0.0027 0.2355  2 Sb 3.12, 4 I 3.18-3.34
Ca 0.3400 0.3400 0.9085  1 Sb 3.09, 5 I 3.14-3.29
Ca 0.6600 0.6600 0.0915  1 Sb 3.09, 5 I 3.14-3.29
Ca 0.9973 0.9973 0.7645  2 Sb 3.12, 4 I 3.18-3.34
Sb 0.5000 0.5000 0.0000  6 Ca 3.09-3.12
I 0.1673 0.1673 0.3327  3 Ca 3.14-3.18
I 0.1701 0.1701 0.8450  4 Ca 3.23-3.34
I 0.5000 0.5000 0.5000  4 Ca 3.32
I 0.8299 0.8299 0.1550  4 Ca 3.23-3.34
I 0.8327 0.8327 0.6673  3 Ca 3.14-3.18

E_tot = -34.699 eV/cell


No. 9
Sr2DyBi3Rh4 | PBE-GGA | optimized geometry

Cell lengths 4.5542, 4.5542, 11.7852 Å; angles 90.00, 90.00, 90.00 degrees
Closest atoms and distances in Å follow each position.
Element x y z (fractional)
Sr 0.0000 0.5000 0.2368  6 Bi 3.46-3.85, 8 Rh 3.53-3.60, 2 Dy 3.85
Sr 0.5000 0.0000 0.7632  6 Bi 3.46-3.85, 8 Rh 3.53-3.60, 2 Dy 3.85
Dy 0.0000 0.0000 0.5000  4 Rh 2.82
Bi 0.0000 0.5000 0.8702  5 Rh 2.71-2.74
Bi 0.5000 0.0000 0.1298  5 Rh 2.71-2.74
Bi 0.5000 0.5000 0.5000  4 Rh 2.82
Rh 0.0000 0.0000 0.0000  4 Bi 2.74
Rh 0.0000 0.5000 0.6406  3 Bi 2.71-2.82, 2 Dy 2.82
Rh 0.5000 0.0000 0.3594  3 Bi 2.71-2.82, 2 Dy 2.82
Rh 0.5000 0.5000 0.0000  4 Bi 2.74

formation enthalpy at 0 K = -0.54 eV per atom


No. 10
ThHRh | PBE-GGA | optimized geometry

Cell lengths 5.5930, 5.5930, 5.5930 Å; angles 141.03, 101.07, 91.75 degrees
Closest atoms and distances in Å follow each position.
Element x y z (fractional)
Th 0.2464 0.2464 0.0000  2 H 2.62, 2 Rh 2.88
Th 0.7536 0.7536 0.0000  2 H 2.62, 2 Rh 2.88
H 0.2507 0.0000 0.2507  2 Rh 1.89
H 0.7493 0.0000 0.7493  2 Rh 1.89
Rh 0.2046 0.5000 0.7046  2 H 1.89
Rh 0.7954 0.5000 0.2954  2 H 1.89

offset from the most stable computed form = 0.1092 eV per atom


No. 11
TmAl6Ag | PBE-GGA | optimized geometry

Cell lengths 5.9123, 5.9123, 4.2479 Å; angles 90.00, 90.00, 96.62 degrees
Closest atoms and distances in Å follow each position.
Element x y z (fractional)
Tm 0.0000 0.0000 0.0000  12 Al 2.96-3.00
Al 0.0000 0.5000 0.0000  8 Al 2.90-3.07, 2 Tm 2.96, 2 Ag 2.96
Al 0.2392 0.7608 0.5000  8 Al 2.90-2.99, 2 Tm 3.00, 2 Ag 3.13
Al 0.2697 0.2697 0.5000  2 Ag 2.79, 8 Al 2.93-3.07, 2 Tm 3.00
Al 0.5000 0.0000 0.0000  8 Al 2.90-3.07, 2 Tm 2.96, 2 Ag 2.96
Al 0.7303 0.7303 0.5000  2 Ag 2.79, 8 Al 2.93-3.07, 2 Tm 3.00
Al 0.7608 0.2392 0.5000  8 Al 2.90-2.99, 2 Tm 3.00, 2 Ag 3.13
Ag 0.5000 0.5000 0.0000  8 Al 2.79-2.96

formation enthalpy at 0 K = -0.09 eV per atom